P:
VASP calculation (PBEsol) on an optimized crystal structure of NaBi2Pd2.

```
5
Lattice="-2.3398 2.3398 5.7701 2.3398 -2.3398 5.7701 2.3398 2.3398 -5.7701" Properties=species:S:1:pos:R:3 pbc="T T T"
Na 0.0000 0.0000 0.0000
Bi 0.0000 0.0000 4.2227
Bi 0.0000 0.0000 7.3176
Pd 2.3398 0.0000 2.8851
Pd 0.0000 2.3398 2.8851
```

Q:
VASP calculation (PBEsol) on an optimized crystal structure of NaBi2Pd2.

```
10
Lattice="8.2130 0.0000 0.0000 0.0000 8.2130 0.0000 0.0000 0.0000 3.2738" Properties=species:S:1:pos:R:3 pbc="T T T"
Na 0.0000 0.0000 0.0000
Na 4.1065 4.1065 0.0000
Bi 1.2565 2.8501 0.0000
Bi 2.8501 6.9566 0.0000
Bi 5.3630 1.2565 0.0000
Bi 6.9566 5.3630 0.0000
Pd 1.1300 5.2366 1.6369
Pd 2.9765 1.1300 1.6369
Pd 5.2366 7.0830 1.6369
Pd 7.0830 2.9765 1.6369
```

The winner here is Q, beating the second structure by 0.027 eV/atom.

P:
VASP calculation (PBEsol) on an optimized crystal structure of Na3BiSb.

```
5
Lattice="5.8329 0.0000 0.0000 0.0000 5.8329 0.0000 0.0000 0.0000 5.8329" Properties=species:S:1:pos:R:3 pbc="T T T"
Na 0.0000 0.0000 2.9165
Na 0.0000 2.9165 0.0000
Na 2.9165 0.0000 0.0000
Bi 0.0000 0.0000 0.0000
Sb 2.9165 2.9165 2.9165
```

Q:
VASP calculation (PBEsol) on an optimized crystal structure of Na3BiSb.

```
5
Lattice="5.7557 0.0000 0.0000 0.0000 5.7557 0.0000 0.0000 0.0000 5.7557" Properties=species:S:1:pos:R:3 pbc="T T T"
Na 0.0000 0.0000 2.8779
Na 0.0000 2.8779 0.0000
Na 2.8779 0.0000 0.0000
Bi 2.8779 2.8779 2.8779
Sb 0.0000 0.0000 0.0000
```

The winner here is Q, beating the second structure by 0.093 eV/atom.

P:
VASP calculation (PBEsol) on an optimized crystal structure of Na2SnBi2.

```
5
Lattice="-2.2201 2.2201 7.7348 2.2201 -2.2201 7.7348 2.2201 2.2201 -7.7348" Properties=species:S:1:pos:R:3 pbc="T T T"
Na 2.2201 0.0000 3.8674
Na 0.0000 2.2201 3.8674
Sn 0.0000 0.0000 0.0000
Bi 0.0000 0.0000 6.2422
Bi 0.0000 0.0000 9.2274
```

Q:
VASP calculation (PBEsol) on an optimized crystal structure of Na2SnBi2.

```
10
Lattice="9.1524 0.0000 0.0000 0.0000 9.1524 0.0000 0.0000 0.0000 3.3434" Properties=species:S:1:pos:R:3 pbc="T T T"
Na 1.1070 3.4692 0.0000
Na 3.4692 8.0454 0.0000
Na 5.6832 1.1070 0.0000
Na 8.0454 5.6832 0.0000
Sn 0.0000 0.0000 1.6717
Sn 4.5762 4.5762 1.6717
Bi 1.6342 6.2104 1.6717
Bi 2.9420 1.6342 1.6717
Bi 6.2104 7.5182 1.6717
Bi 7.5182 2.9420 1.6717
```

The winner here is Q, beating the second structure by 0.191 eV/atom.

P:
VASP calculation (PBEsol) on an optimized crystal structure of NaY3Bi.

```
5
Lattice="5.3872 0.0000 0.0000 0.0000 5.3872 0.0000 0.0000 0.0000 5.3872" Properties=species:S:1:pos:R:3 pbc="T T T"
Na 0.0000 0.0000 0.0000
Y 0.0000 0.0000 2.6936
Y 0.0000 2.6936 0.0000
Y 2.6936 0.0000 0.0000
Bi 2.6936 2.6936 2.6936
```

Q:
VASP calculation (PBEsol) on an optimized crystal structure of NaY3Bi.

```
5
Lattice="5.8401 0.0000 0.0000 0.0000 5.8401 0.0000 0.0000 0.0000 5.8401" Properties=species:S:1:pos:R:3 pbc="T T T"
Na 0.0000 0.0000 0.0000
Y 0.0000 2.9200 2.9200
Y 2.9200 0.0000 2.9200
Y 2.9200 2.9200 0.0000
Bi 2.9200 2.9200 2.9200
```

The winner here is Q, beating the second structure by 0.322 eV/atom.

P:
VASP calculation (PBEsol) on an optimized crystal structure of BiP2O7.

```
40
Lattice="5.1520 -4.3037 0.0000 5.1520 4.3037 0.0000 -5.0108 0.0000 12.8624" Properties=species:S:1:pos:R:3 pbc="T T T"
Bi -0.5266 2.1678 11.0900
Bi 3.3145 2.1678 8.2036
Bi 1.9788 -2.1678 4.6588
Bi 5.8198 -2.1678 1.7724
P -0.0820 0.5563 4.7520
P -2.5874 -0.5563 11.1832
P 3.4594 0.3308 0.9393
P 0.9540 -0.3308 7.3705
P 4.3392 0.3308 5.4919
P 1.8338 -0.3308 11.9231
P 7.8806 0.5563 1.6792
P 5.3752 -0.5563 8.1104
O -0.2178 2.5089 8.8942
O 1.7270 3.7370 7.8021
O -2.2120 0.7856 10.5513
O 1.0609 3.7370 11.4915
O 3.9815 1.6536 0.3709
O 2.1379 0.4816 1.6996
O 0.7101 0.6996 6.1493
O 0.2934 -0.7856 4.1201
O -0.3675 -0.4816 8.1308
O -1.7953 -0.6996 12.5805
O 3.0057 2.5089 10.3994
O 3.8171 1.6536 6.0603
O 0.7940 0.3469 11.0400
O 1.9939 0.3469 8.2536
O 3.2994 -0.3469 4.6088
O 4.4993 -0.3469 1.8224
O 1.4762 -1.6536 6.8021
O 2.2875 -2.5089 2.4630
O 7.0885 0.6996 0.2819
O 5.6607 0.4816 4.7316
O 4.9999 0.7856 8.7423
O 4.5832 -0.6996 6.7131
O 3.1554 -0.4816 11.1628
O 1.3117 -1.6536 12.4915
O 4.2324 -3.7370 1.3709
O 7.5052 -0.7856 2.3111
O 3.5662 -3.7370 5.0603
O 5.5111 -2.5089 3.9682
```

Q:
VASP calculation (PBEsol) on an optimized crystal structure of BiP2O7.

```
20
Lattice="5.1345 0.0000 0.0000 0.0000 8.6244 0.0000 -2.4982 0.0000 6.9585" Properties=species:S:1:pos:R:3 pbc="T T T"
Bi 0.5485 0.0000 1.5636
Bi 2.0879 4.3122 5.3949
P -0.4422 6.3140 4.1786
P 2.0433 2.7228 0.1060
P 0.5931 7.0351 6.8526
P 3.0785 2.0018 2.7799
O -0.5896 1.7262 2.4169
O -0.4693 7.1707 2.9181
O -1.3164 3.9443 6.7576
O -1.1658 1.3735 6.9308
O 0.4011 5.0445 4.0710
O 1.7991 6.9697 0.7217
O 0.1986 7.2615 5.3101
O 2.4378 2.9492 1.6484
O 0.8372 2.6575 6.2368
O 2.2352 0.7323 2.8876
O 3.8022 5.6857 0.0277
O 3.9527 8.2565 0.2009
O 3.1057 2.8584 4.0404
O 3.2260 6.0384 4.5416
```

The winner here is Q, beating the second structure by 0.009 eV/atom.

P:
VASP calculation (PBEsol) on an optimized crystal structure of Bi3P2O10.

```
15
Lattice="5.4500 0.0000 0.0000 0.3700 6.7771 0.0000 2.7078 2.3816 6.0036" Properties=species:S:1:pos:R:3 pbc="T T T"
Bi 0.0000 0.0000 0.0000
Bi 2.3774 2.8695 2.5536
Bi 5.0937 4.5437 4.2478
P 3.0382 6.3874 2.0989
P 5.2589 3.4420 0.5523
O 2.2015 7.4869 2.7849
O 0.8460 2.2947 0.1982
O 3.0277 5.1217 3.0080
O 2.4263 6.0523 0.7190
O 3.9182 2.7320 4.1573
O 4.5145 6.8485 1.9517
O 3.8328 2.8853 0.4555
O 5.6119 3.8612 2.0178
O 6.7252 3.0940 4.4539
O 8.2029 6.9892 5.5817
```

Q:
VASP calculation (PBEsol) on an optimized crystal structure of Bi3P2O10.

```
30
Lattice="6.8246 0.0000 0.0000 -2.8105 7.0366 0.0000 -0.5708 -2.9981 8.4656" Properties=species:S:1:pos:R:3 pbc="T T T"
Bi -0.4318 0.1900 3.4587
Bi -1.2754 6.1064 0.0229
Bi 0.9050 -0.3453 6.9929
Bi 2.5383 4.3837 1.4727
Bi 4.7186 -2.0679 8.4428
Bi 3.8750 3.8485 5.0069
P -0.8144 3.4669 2.0906
P 0.6292 2.9360 6.2948
P 2.8141 1.1025 2.1709
P 4.2577 0.5716 6.3750
O -1.3519 0.1615 7.2645
O -0.1394 -2.3640 7.3300
O -1.1887 3.3256 3.5653
O -0.2736 2.0883 1.5836
O 0.5381 -1.0942 5.0712
O -0.8240 3.4946 6.2608
O 1.8270 0.0860 2.7643
O 0.2656 4.5462 1.8498
O 0.7438 1.5442 5.6229
O 2.5322 1.2425 0.6282
O 0.9110 2.7960 7.8375
O 2.6994 2.4943 2.8428
O 3.1776 -0.5077 6.6158
O 1.6162 3.9525 5.7013
O 4.2672 0.5439 2.2049
O 2.9052 5.1327 3.3944
O 3.7169 1.9502 6.8820
O 4.6319 0.7129 4.9003
O 3.5826 6.4025 1.1357
O 4.7951 3.8770 1.2011
```

The winner here is Q, beating the second structure by 0.018 eV/atom.